(1)
DFT (PBE-GGA) results for a relaxed structure of Mg6TlIn5.

Computed properties:
Energy relative to the elements ... -0.0762 eV per atom
Offset from the most stable computed form ... 0.000 eV per atom

```
Mg6TlIn5
1.0
-4.347 -1.394 1.204
3.084 -3.179 7.453
-3.286 5.429 3.676
Mg Tl In
6 1 5
direct
0.833 0.747 0.334
0.833 0.253 0.334
0.500 0.248 0.000
0.500 0.752 0.000
0.167 0.747 0.666
0.167 0.253 0.666
0.000 0.000 0.000
0.666 0.500 0.669
0.329 0.000 0.341
0.000 0.500 0.000
0.671 0.000 0.659
0.334 0.500 0.331
```


(2)
DFT (PBE-GGA) results for a relaxed structure of Mg4TlIn3.

Computed properties:
Energy relative to the elements ... -0.0563 eV per atom
Offset from the most stable computed form ... 0.004 eV per atom

```
Mg4TlIn3
1.0
-1.058 -3.229 -3.845
2.967 -0.065 -4.186
5.527 -6.937 0.880
Mg Tl In
4 1 3
direct
0.625 0.625 0.126
0.874 0.874 0.377
0.375 0.375 0.874
0.126 0.126 0.623
0.000 0.000 0.000
0.751 0.751 0.748
0.500 0.500 0.500
0.249 0.249 0.252
```


(3)
DFT (PBE-GGA) results for a relaxed structure of Mg6TlIn3.

Computed properties:
Energy relative to the elements ... -0.0704 eV per atom
Offset from the most stable computed form ... 0.000 eV per atom

```
Mg6TlIn3
1.0
4.683 0.000 0.000
0.000 9.825 -0.226
0.000 0.024 10.189
Mg Tl In
12 2 6
direct
0.250 0.455 0.099
0.750 0.545 0.901
0.250 0.154 0.201
0.750 0.846 0.799
0.250 0.642 0.699
0.750 0.358 0.301
0.250 0.249 0.503
0.750 0.751 0.497
0.250 0.851 0.297
0.750 0.149 0.703
0.250 0.053 0.903
0.750 0.947 0.097
0.250 0.943 0.611
0.750 0.057 0.389
0.250 0.551 0.398
0.750 0.449 0.602
0.250 0.347 0.805
0.750 0.653 0.195
0.250 0.753 0.990
0.750 0.247 0.010
```


(4)
DFT (PBE-GGA) results for a relaxed structure of Mg2Tl3In4.

Computed properties:
Energy relative to the elements ... -0.0057 eV per atom

```
Mg2Tl3In4
1.0
-1.030 -1.878 2.599
-1.648 -5.292 -2.294
11.017 -5.286 2.731
Mg Tl In
2 3 4
direct
0.339 0.108 0.215
0.661 0.892 0.785
0.333 0.767 0.566
0.000 0.000 0.000
0.667 0.233 0.434
0.675 0.534 0.115
0.010 0.305 0.674
0.990 0.695 0.326
0.325 0.466 0.885
```


(5)
DFT (PBE-GGA) results for a relaxed structure of Mg10TlIn6.

Computed properties:
Energy relative to the elements ... -0.0428 eV per atom

```
Mg10TlIn6
1.0
-6.188 -0.484 -0.869
0.822 3.625 -7.869
0.551 -8.640 0.890
Mg Tl In
10 1 6
direct
0.807 0.717 0.717
0.807 0.000 0.283
0.807 0.283 0.000
0.193 0.283 0.283
0.193 0.000 0.717
0.193 0.717 0.000
0.500 0.333 0.667
0.500 0.667 0.333
0.000 0.667 0.333
0.000 0.333 0.667
0.500 0.000 0.000
0.721 0.376 0.376
0.721 0.000 0.624
0.721 0.624 0.000
0.279 0.624 0.624
0.279 0.000 0.376
0.279 0.376 0.000
```


(6)
DFT (PBE-GGA) results for a relaxed structure of Mg4Tl3In.

Computed properties:
Energy relative to the elements ... -0.0423 eV per atom
Offset from the most stable computed form ... 0.000 eV per atom

```
Mg4Tl3In
1.0
-1.513 -1.808 -2.622
3.001 -1.780 -0.504
-4.798 -11.023 10.367
Mg Tl In
4 3 1
direct
0.000 0.000 0.878
0.000 0.000 0.122
0.000 0.000 0.374
0.000 0.000 0.626
0.500 0.500 0.248
0.500 0.500 0.500
0.500 0.500 0.752
0.500 0.500 0.000
```


(7)
DFT (PBE-GGA) results for a relaxed structure of Mg3Tl3In2.

Computed properties:
Energy relative to the elements ... -0.0123 eV per atom
Offset from the most stable computed form ... 0.000 eV per atom

```
Mg3Tl3In2
1.0
4.334 0.000 0.000
0.000 4.766 0.000
-2.167 -2.383 9.891
Mg Tl In
3 3 2
direct
0.128 0.128 0.257
0.000 0.500 0.000
0.872 0.872 0.743
0.621 0.621 0.243
0.379 0.379 0.757
0.500 0.000 0.000
0.749 0.249 0.498
0.251 0.751 0.502
```


(8)
DFT (PBE-GGA) results for a relaxed structure of Mg2TlIn2.

Computed properties:
Energy relative to the elements ... -0.0355 eV per atom
Offset from the most stable computed form ... 0.000 eV per atom

```
Mg2TlIn2
1.0
3.281 0.000 0.000
0.000 3.313 0.628
0.000 -0.437 11.360
Mg Tl In
2 1 2
direct
0.500 0.402 0.195
0.500 0.598 0.805
0.000 0.000 0.000
0.000 0.191 0.618
0.000 0.809 0.382
```


(9)
DFT (PBE-GGA) results for a relaxed structure of Mg7Tl12In.

Computed properties:
Energy relative to the elements ... 0.0291 eV per atom
Offset from the most stable computed form ... 0.022 eV per atom

```
Mg7Tl12In
1.0
6.003 0.000 -1.235
-3.040 8.927 -4.636
0.077 0.000 10.508
Mg Tl In
7 12 1
direct
0.109 0.773 0.069
0.961 0.069 0.296
0.665 0.704 0.773
0.500 0.000 0.000
0.335 0.296 0.227
0.039 0.931 0.704
0.891 0.227 0.931
0.187 0.552 0.177
0.990 0.177 0.625
0.573 0.709 0.060
0.487 0.060 0.351
0.365 0.375 0.552
0.136 0.649 0.709
0.864 0.351 0.291
0.635 0.625 0.448
0.513 0.940 0.649
0.427 0.291 0.940
0.010 0.823 0.375
0.813 0.448 0.823
0.000 0.000 0.000
```


(10)
DFT (PBE-GGA) results for a relaxed structure of Mg3TlIn2.

Computed properties:
Energy relative to the elements ... -0.0627 eV per atom

```
Mg3TlIn2
1.0
3.501 0.000 0.000
0.000 3.501 0.000
0.000 0.000 11.796
Mg Tl In
3 1 2
direct
0.000 0.000 0.000
0.000 0.000 0.671
0.000 0.000 0.329
0.500 0.500 0.500
0.500 0.500 0.836
0.500 0.500 0.164
```


(11)
DFT (PBE-GGA) results for a relaxed structure of Mg7TlIn2.

Computed properties:
Energy relative to the elements ... -0.0190 eV per atom
Offset from the most stable computed form ... 0.000 eV per atom

```
Mg7TlIn2
1.0
-2.000 -1.886 3.939
-1.112 -3.970 -2.466
11.083 -1.444 2.007
Mg Tl In
7 1 2
direct
0.094 0.594 0.188
0.406 0.906 0.812
0.594 0.094 0.188
0.500 0.500 0.000
0.750 0.250 0.500
0.906 0.406 0.812
0.250 0.750 0.500
0.000 0.000 0.000
0.670 0.670 0.341
0.330 0.330 0.659
```


(12)
DFT (PBE-GGA) results for a relaxed structure of Mg2TlIn2.

Computed properties:
Energy relative to the elements ... -0.0199 eV per atom
Offset from the most stable computed form ... 0.016 eV per atom

```
Mg2TlIn2
1.0
-6.025 2.295 6.132
6.051 -1.229 6.406
0.917 3.122 -0.267
Tl Mg In
2 4 4
direct
0.000 0.000 0.000
0.500 0.500 0.000
0.172 0.672 0.500
0.672 0.828 0.500
0.828 0.328 0.500
0.328 0.172 0.500
0.374 0.874 0.000
0.874 0.626 0.000
0.626 0.126 0.000
0.126 0.374 0.000
```


(13)
DFT (PBE-GGA) results for a relaxed structure of Mg8TlIn3.

Computed properties:
Energy relative to the elements ... 0.0313 eV per atom

```
Mg8TlIn3
1.0
8.085 0.000 -0.659
-5.055 4.823 4.473
-2.024 0.000 8.286
Mg Tl In
8 1 3
direct
0.222 0.000 0.696
0.379 0.541 0.574
0.838 0.459 0.114
0.625 0.000 0.846
0.823 0.000 0.582
0.672 0.557 0.336
0.115 0.443 0.893
0.383 0.000 0.101
0.010 0.000 0.949
0.769 0.528 0.711
0.241 0.472 0.238
0.423 0.000 0.459
```


(14)
DFT (PBE-GGA) results for a relaxed structure of Mg4Tl2In3.

Computed properties:
Energy relative to the elements ... -0.0180 eV per atom

```
Mg4Tl2In3
1.0
8.463 -0.632 0.922
1.443 7.218 -0.163
0.030 -0.780 7.321
Mg Tl In
8 4 6
direct
0.423 0.920 0.176
0.077 0.824 0.080
0.577 0.080 0.824
0.923 0.176 0.920
0.084 0.154 0.417
0.416 0.583 0.846
0.916 0.846 0.583
0.584 0.417 0.154
0.418 0.250 0.502
0.082 0.498 0.750
0.582 0.750 0.498
0.918 0.502 0.250
0.761 0.055 0.273
0.739 0.727 0.945
0.239 0.945 0.727
0.261 0.273 0.055
0.250 0.639 0.361
0.750 0.361 0.639
```


(15)
DFT (PBE-GGA) results for a relaxed structure of MgTl3In.

Computed properties:
Energy relative to the elements ... 0.0097 eV per atom
Offset from the most stable computed form ... 0.000 eV per atom

```
MgTl3In
1.0
3.820 -0.451 -0.374
-3.044 7.737 -0.361
-1.135 -0.911 10.122
Mg Tl In
2 6 2
direct
0.282 0.836 0.217
0.764 0.319 0.206
0.171 0.131 0.400
0.563 0.919 0.605
0.480 0.235 0.816
0.872 0.023 0.021
0.393 0.538 0.031
0.652 0.616 0.390
0.075 0.433 0.602
0.966 0.719 0.818
```


(16)
DFT (PBE-GGA) results for a relaxed structure of Mg6TlIn.

Computed properties:
Energy relative to the elements ... -0.0637 eV per atom

```
Mg6TlIn
1.0
-3.515 -1.625 -2.305
2.792 -2.526 -2.476
-0.800 -6.726 5.960
Mg Tl In
6 1 1
direct
0.500 0.500 0.000
0.500 0.500 0.500
0.500 0.000 0.254
0.500 0.000 0.746
0.000 0.500 0.254
0.000 0.500 0.746
0.000 0.000 0.000
0.000 0.000 0.500
```


(17)
DFT (PBE-GGA) results for a relaxed structure of Mg5Tl5In2.

Computed properties:
Energy relative to the elements ... 0.0096 eV per atom

```
Mg5Tl5In2
1.0
5.417 0.000 0.000
-2.709 7.274 -0.132
0.000 -3.874 8.006
Mg Tl In
5 5 2
direct
0.086 0.171 0.413
0.756 0.512 0.770
0.244 0.488 0.230
0.914 0.829 0.587
0.000 0.000 0.000
0.500 0.000 0.500
0.598 0.197 0.940
0.675 0.351 0.351
0.325 0.649 0.649
0.402 0.803 0.060
0.147 0.295 0.802
0.853 0.705 0.198
```


(18)
DFT (PBE-GGA) results for a relaxed structure of Mg12TlIn7.

Computed properties:
Energy relative to the elements ... 0.1935 eV per atom

```
Mg12TlIn7
1.0
-2.897 8.666 -0.897
-7.016 -5.318 2.605
6.637 -0.369 6.334
Mg Tl In
12 1 7
direct
0.260 0.156 0.416
0.260 0.844 0.104
0.740 0.844 0.584
0.740 0.156 0.896
0.416 0.260 0.156
0.896 0.740 0.156
0.584 0.740 0.844
0.104 0.260 0.844
0.844 0.104 0.260
0.156 0.896 0.740
0.156 0.416 0.260
0.844 0.584 0.740
0.000 0.000 0.000
0.500 0.000 0.500
0.500 0.500 0.000
0.000 0.500 0.500
0.000 0.000 0.500
0.500 0.000 0.000
0.500 0.500 0.500
0.000 0.500 0.000
```


(19)
DFT (PBE-GGA) results for a relaxed structure of MgTl12In7.

Computed properties:
Energy relative to the elements ... 0.0160 eV per atom

```
MgTl12In7
1.0
8.620 0.251 0.377
-2.156 8.350 0.377
-2.156 -2.868 7.851
Mg Tl In
1 12 7
direct
0.000 0.000 0.000
0.763 0.242 0.509
0.758 0.491 0.237
0.343 0.080 0.327
0.920 0.673 0.657
0.491 0.237 0.758
0.673 0.657 0.920
0.327 0.343 0.080
0.509 0.763 0.242
0.080 0.327 0.343
0.657 0.920 0.673
0.242 0.509 0.763
0.237 0.758 0.491
0.092 0.683 0.080
0.317 0.920 0.908
0.920 0.908 0.317
0.500 0.500 0.500
0.080 0.092 0.683
0.683 0.080 0.092
0.908 0.317 0.920
```


(20)
DFT (PBE-GGA) results for a relaxed structure of Mg3Tl3In.

Computed properties:
Energy relative to the elements ... 0.0126 eV per atom
Offset from the most stable computed form ... 0.000 eV per atom

```
Mg3Tl3In
1.0
-0.631 1.327 -5.475
5.107 -6.608 -2.190
-8.525 -1.178 0.697
Mg Tl In
6 6 2
direct
0.250 0.810 0.765
0.250 0.235 0.044
0.250 0.956 0.190
0.750 0.190 0.235
0.750 0.765 0.956
0.750 0.044 0.810
0.750 0.635 0.545
0.750 0.455 0.090
0.750 0.910 0.365
0.250 0.365 0.455
0.250 0.545 0.910
0.250 0.090 0.635
0.250 0.667 0.333
0.750 0.333 0.667
```